Below is a relaxed structure of NaThSe2O8, with properties calculated at the PBE level.

Formation energy without anion corrections in eV/atom: -1.509
E in eV/atom: -6.123

abc: 5.287 5.287 11.512
angles: 90.00 90.00 90.00
Space group I-4 (No. 82)
Symmetry-distinct sites (fractional):
Na 0.000 0.000 0.000 x2
Th 0.000 0.500 0.750 x2
Se 0.000 0.000 0.500 x2
Se 0.000 0.500 0.250 x2
O 0.126 0.254 0.588 x8
O 0.135 0.734 0.173 x8

=====

Below is a relaxed structure of NaTiSeO, with properties calculated at the PBE level.

Formation energy without anion corrections in eV/atom: -1.621
E in eV/atom: -6.035

abc: 3.3433 3.3433 19.3649
angles: 90.00 90.00 120.00
Space group R3m (No. 160, hexagonal axes)
Symmetry-distinct sites (fractional):
Na 0.0000 0.0000 0.0000 x3
Ti 0.0000 0.0000 0.5346 x3
Se 0.0000 0.0000 0.7817 x3
O 0.0000 0.0000 0.2541 x3

=====

Below is a relaxed structure of NaTiSe2O8, with properties calculated at the PBE level.

Formation energy without anion corrections in eV/atom: -1.303
E in eV/atom: -5.957

abc: 8.544 5.605 7.265
angles: 90.00 90.27 90.00
Space group C2/m (No. 12)
Symmetry-distinct sites (fractional):
Na 0.000 0.000 0.000 x2
Ti 0.000 0.000 0.500 x2
Se 0.143 0.500 0.720 x4
O 0.026 0.245 0.700 x8
O 0.223 0.500 0.925 x4
O 0.228 0.000 0.462 x4